No. 1
TbSmCu2Se4 (GGA-PBE, relaxed); crystal system = orthorhombic
1.0
6.841 0.000 0.000
3.421 5.286 0.171
3.421 0.604 5.254
Tb Sm Cu Se
1 1 2 4
direct
0.500 0.500 0.500
0.000 0.000 0.000
0.156 0.344 0.344
0.844 0.656 0.656
0.438 0.074 0.545
0.057 0.926 0.455
0.943 0.545 0.074
0.562 0.455 0.926


No. 2
TbSm2CuSe5 (GGA-PBE, relaxed); crystal system = orthorhombic
1.0
-2.028 -2.928 1.917
6.729 -4.519 -4.050
6.951 1.589 9.778
Tb Sm Cu Se
2 4 2 10
direct
0.807 0.613 0.510
0.193 0.387 0.010
0.879 0.757 0.809
0.108 0.216 0.685
0.121 0.243 0.309
0.892 0.784 0.185
0.564 0.128 0.955
0.436 0.872 0.455
0.358 0.715 0.001
0.685 0.371 0.844
0.499 0.998 0.780
0.288 0.577 0.676
0.958 0.916 0.563
0.642 0.285 0.501
0.315 0.629 0.344
0.501 0.002 0.280
0.712 0.423 0.176
0.042 0.084 0.063


No. 3
Sm8CuTe4Se3 (GGA-PBE, relaxed); crystal system = trigonal
1.0
8.547 0.000 0.000
0.000 8.704 0.105
-4.274 -4.269 6.046
Sm Cu Te Se
8 1 4 3
direct
0.236 0.722 0.986
0.236 0.722 0.473
0.260 0.280 0.520
0.750 0.722 0.986
0.250 0.278 0.014
0.740 0.720 0.480
0.764 0.278 0.527
0.764 0.278 0.014
0.000 0.500 0.000
0.500 0.000 0.000
0.500 0.000 0.500
0.000 0.000 0.000
0.000 0.000 0.500
0.500 0.500 0.000
0.500 0.500 0.500
0.000 0.500 0.500


No. 4
Sm4CuTe2Se (GGA-PBE, relaxed); crystal system = monoclinic
1.0
-1.633 -3.734 -1.005
4.186 -3.261 5.314
-6.601 2.059 3.075
Sm Cu Te Se
4 1 2 1
direct
0.500 0.245 0.227
0.500 0.755 0.773
0.000 0.268 0.778
0.000 0.732 0.222
0.500 0.500 0.000
0.500 0.000 0.500
0.000 0.500 0.500
0.000 0.000 0.000


No. 5
SmTlCuSe2 (GGA-PBE, relaxed); crystal system = monoclinic
1.0
5.732 0.000 0.000
0.000 6.633 -0.014
0.000 -2.026 7.751
Sm Tl Cu Se
2 2 2 4
direct
0.516 0.000 0.250
0.484 0.000 0.750
0.201 0.500 0.750
0.799 0.500 0.250
0.000 0.000 0.000
0.000 0.000 0.500
0.717 0.745 0.938
0.717 0.255 0.562
0.283 0.745 0.438
0.283 0.255 0.062


No. 6
SmTlCuSe3 (GGA-PBE, relaxed); crystal system = monoclinic
1.0
-2.186 -2.469 2.362
5.218 -4.431 -3.273
6.889 1.920 8.384
Tl Cu Se Sm
2 2 6 2
direct
0.247 0.496 0.250
0.753 0.504 0.750
0.475 0.944 0.750
0.525 0.056 0.250
0.630 0.261 0.074
0.370 0.739 0.926
0.370 0.739 0.574
0.630 0.261 0.426
0.072 0.140 0.750
0.928 0.860 0.250
0.000 0.000 0.500
0.000 0.000 0.000


No. 7
SmTl2Cu2Se4 (GGA-PBE, relaxed); crystal system = monoclinic
1.0
4.033 0.000 0.000
0.000 8.044 0.470
-2.016 -2.772 7.011
Sm Tl Cu Se
1 2 2 4
direct
0.000 0.000 0.000
0.133 0.560 0.265
0.867 0.440 0.735
0.683 0.991 0.366
0.317 0.009 0.634
0.204 0.179 0.408
0.796 0.821 0.592
0.528 0.761 0.056
0.472 0.239 0.944


No. 8
Sm2TmCuSe5 (GGA-PBE, relaxed); crystal system = orthorhombic
1.0
-1.193 3.280 -2.016
2.555 -5.581 -6.564
-11.216 -4.441 -0.590
Sm Tm Cu Se
4 2 2 10
direct
0.877 0.754 0.808
0.109 0.217 0.686
0.123 0.246 0.308
0.891 0.783 0.186
0.807 0.613 0.510
0.193 0.387 0.010
0.565 0.129 0.956
0.435 0.871 0.456
0.356 0.712 0.001
0.688 0.377 0.846
0.499 0.998 0.781
0.287 0.575 0.673
0.957 0.914 0.564
0.644 0.288 0.501
0.312 0.623 0.346
0.501 0.002 0.281
0.713 0.425 0.173
0.043 0.086 0.064


Number 1: total DFT energy (no corrections) -39.85 eV/cell. Number 2: total DFT energy (no corrections) -99.52 eV/cell. Number 3: total DFT energy (no corrections) -87.54 eV/cell. Number 4: total DFT energy (no corrections) -42.30 eV/cell. Number 5: total DFT energy (no corrections) -43.54 eV/cell. Number 6: total DFT energy (no corrections) -54.33 eV/cell. Number 7: total DFT energy (no corrections) -38.21 eV/cell. Number 8: total DFT energy (no corrections) -99.22 eV/cell.